An optimized crystal structure of Ho6In3Os. Source: Alexandria, functional GGA-PBE.

Computed properties:
- final energy (eV per atom) = -5.040
- polymorph energy (0 for the lowest one) (eV/atom) = 0.000
- density of states at the Fermi level (states/eV per cell) = 14.84
- formation energy from the elements (eV per atom) = -0.35
- total magnetization (Bohr magnetons per cell) = 0.0

Cell: 9.2255 5.2167 11.3063 Å, 90.00 107.39 90.00°
Closest atoms and distances in Å follow each position.
Space group P2_1/m (No. 11)
Asymmetric unit:
Ho  0.0430  0.2500  0.4159 [2 per cell]  6 In 3.11-3.33, 3 Ho 3.41-3.46
Ho  0.1922  0.7500  0.1684 [2 per cell]  1 Os 2.84, 3 In 3.17
Ho  0.2856  0.2500  0.0052 [2 per cell]  3 Os 2.89-3.08, 1 In 3.17
Ho  0.3530  0.7500  0.8305 [2 per cell]  3 Os 2.86-3.10
Ho  0.3755  0.2500  0.3420 [2 per cell]  3 In 3.26-3.28, 8 Ho 3.34-3.65
Ho  0.3948  0.2500  0.6460 [2 per cell]  1 Os 2.82, 1 In 3.11
In  0.0128  0.7500  0.8810 [2 per cell]  6 Ho 3.17-3.37, 2 In 3.40
In  0.0964  0.2500  0.7202 [2 per cell]  6 Ho 3.11-3.33, 2 In 3.40
In  0.2761  0.7500  0.4761 [2 per cell]  9 Ho 3.23-3.51, 1 In 3.49
Os  0.4611  0.7500  0.0958 [2 per cell]  8 Ho 2.82-3.10